Here is ScV2Ag2 after structural relaxation from the Alexandria database. Energies are from PBE-GGA.

Structure (extended XYZ):
```
5
Lattice="4.4862 0.0000 0.0000 0.0000 4.4862 0.0000 0.0000 0.0000 5.0392" Properties=species:S:1:pos:R:3 pbc="T T T"
Sc 0.0000 0.0000 0.0000
V 0.0000 2.2431 0.0000
V 2.2431 0.0000 0.0000
Ag 0.0000 0.0000 2.5196
Ag 2.2431 2.2431 2.5196
```

Energy of formation = 1.48 eV/atom
Relative energy among the computed polymorphs = 1165 meV per atom

***

Here is LuNiGe2 after structural relaxation from the Alexandria database. Energies are from PBE-GGA.

Structure (extended XYZ):
```
8
Lattice="3.9754 0.0000 0.0000 0.0000 4.1215 0.0000 -1.9704 0.0000 8.5013" Properties=species:S:1:pos:R:3 pbc="T T T"
Lu 0.0064 1.0304 1.8319
Lu 1.9986 3.0911 6.6694
Ni 0.0071 1.0304 5.5367
Ni 1.9979 3.0911 2.9646
Ge 0.0104 3.0911 4.2883
Ge 0.0061 1.0304 7.8162
Ge 1.9989 3.0911 0.6851
Ge 1.9946 1.0304 4.2130
```

Energy of formation = -0.62 eV/atom

***

Here is TcOs3Pt after structural relaxation from the Alexandria database. Energies are from PBE-GGA.

Structure (extended XYZ):
```
5
Lattice="4.6183 0.0000 0.0000 0.0000 4.6183 0.0000 0.0000 0.0000 4.6183" Properties=species:S:1:pos:R:3 pbc="T T T"
Tc 0.0000 0.0000 0.0000
Os 0.0000 0.0000 2.3091
Os 0.0000 2.3091 0.0000
Os 2.3091 0.0000 0.0000
Pt 2.3091 2.3091 2.3091
```

Energy of formation = 2.32 eV/atom
Relative energy among the computed polymorphs = 0 meV per atom

***

Here is PmPaN2 after structural relaxation from the Alexandria database. Energies are from PBE-GGA.

Structure (extended XYZ):
```
8
Lattice="3.5684 0.0000 0.0000 -1.7842 3.0903 0.0000 0.0000 0.0000 11.5903" Properties=species:S:1:pos:R:3 pbc="T T T"
Pm 0.0000 2.0602 2.8976
Pm 1.7842 1.0301 8.6927
Pa 0.0000 0.0000 0.0000
Pa 0.0000 0.0000 5.7951
N 0.0000 2.0602 7.0368
N 0.0000 2.0602 10.3486
N 1.7842 1.0301 1.2417
N 1.7842 1.0301 4.5534
```

Uncorrected formation energy = -1575 meV/atom
Relative energy among the computed polymorphs = 23 meV per atom

***

Here is ZrMo3 after structural relaxation from the Alexandria database. Energies are from PBE-GGA.

Structure (extended XYZ):
```
8
Lattice="3.2204 0.0000 0.0000 0.0000 4.6581 0.0000 0.0000 0.0000 9.1423" Properties=species:S:1:pos:R:3 pbc="T T T"
Zr 0.0000 0.0000 0.0000
Zr 1.6102 2.3290 0.0000
Mo 0.0000 0.0000 4.5712
Mo 0.0000 2.3290 2.4302
Mo 0.0000 2.3290 6.7121
Mo 1.6102 0.0000 2.4302
Mo 1.6102 0.0000 6.7121
Mo 1.6102 2.3290 4.5712
```

Energy of formation = 0.05 eV/atom

***

Here is TePt after structural relaxation from the Alexandria database. Energies are from PBE-GGA.

Structure (extended XYZ):
```
4
Lattice="4.1323 0.0000 0.0000 0.0000 3.8098 0.0000 -1.2765 0.0000 5.3675" Properties=species:S:1:pos:R:3 pbc="T T T"
Te 0.4187 0.9525 1.5039
Te 2.4371 2.8574 3.8636
Pt 0.3247 0.9525 4.2885
Pt 2.5311 2.8574 1.0790
```

Uncorrected formation energy = -178 meV/atom

***

Here is Nd3Sm2Tl after structural relaxation from the Alexandria database. Energies are from PBE-GGA.

Structure (extended XYZ):
```
12
Lattice="4.9982 0.0000 0.0000 0.0000 15.5722 0.0000 0.0000 0.0000 4.9856" Properties=species:S:1:pos:R:3 pbc="T T T"
Nd 0.0000 0.0000 0.0000
Nd 0.0000 5.1940 0.0000
Nd 0.0000 10.3782 0.0000
Nd 2.4991 2.5921 0.0000
Nd 2.4991 7.7861 0.0000
Nd 2.4991 12.9802 0.0000
Sm 0.0000 2.5307 2.4928
Sm 0.0000 13.0415 2.4928
Sm 2.4991 5.2554 2.4928
Sm 2.4991 10.3169 2.4928
Tl 0.0000 7.7861 2.4928
Tl 2.4991 0.0000 2.4928
```

Energy of formation = -0.11 eV/atom
Relative energy among the computed polymorphs = 0 meV per atom

***

Here is MnSb2AsI after structural relaxation from the Alexandria database. Energies are from PBE-GGA.

Structure (extended XYZ):
```
5
Lattice="5.3983 0.0000 0.0000 0.0000 5.3983 0.0000 0.0000 0.0000 5.4283" Properties=species:S:1:pos:R:3 pbc="T T T"
Mn 0.0000 0.0000 0.0000
Sb 0.0000 2.6991 2.7142
Sb 2.6991 0.0000 2.7142
As 2.6991 2.6991 2.7142
I 2.6991 2.6991 0.0000
```

Uncorrected formation energy = 1413 meV/atom
Relative energy among the computed polymorphs = 845 meV per atom

***

Here is K3BaCu after structural relaxation from the Alexandria database. Energies are from PBE-GGA.

Structure (extended XYZ):
```
5
Lattice="6.5933 0.0000 0.0000 0.0000 6.5933 0.0000 0.0000 0.0000 6.5933" Properties=species:S:1:pos:R:3 pbc="T T T"
K 0.0000 0.0000 3.2966
K 0.0000 3.2966 0.0000
K 3.2966 0.0000 0.0000
Ba 3.2966 3.2966 3.2966
Cu 0.0000 0.0000 0.0000
```

Energy of formation = 0.32 eV/atom
Relative energy among the computed polymorphs = 0 meV per atom

***

Here is CrCdHAu2 after structural relaxation from the Alexandria database. Energies are from PBE-GGA.

Structure (extended XYZ):
```
5
Lattice="4.6841 0.0000 0.0000 0.0000 4.6841 0.0000 0.0000 0.0000 3.4499" Properties=species:S:1:pos:R:3 pbc="T T T"
Cr 0.0000 0.0000 0.0000
Cd 2.3420 2.3420 0.0000
H 0.0000 0.0000 1.7249
Au 0.0000 2.3420 1.7249
Au 2.3420 0.0000 1.7249
```

***

Here is KCaSb2Os after structural relaxation from the Alexandria database. Energies are from PBE-GGA.

Structure (extended XYZ):
```
5
Lattice="5.2663 0.0000 0.0000 0.0000 5.2663 0.0000 0.0000 0.0000 5.4902" Properties=species:S:1:pos:R:3 pbc="T T T"
K 0.0000 0.0000 0.0000
Ca 2.6332 2.6332 0.0000
Sb 0.0000 2.6332 2.7451
Sb 2.6332 0.0000 2.7451
Os 2.6332 2.6332 2.7451
```

Uncorrected formation energy = 80 meV/atom

***

Here is LaNb2Ni2 after structural relaxation from the Alexandria database. Energies are from PBE-GGA.

Structure (extended XYZ):
```
10
Lattice="7.8920 0.0000 0.0000 0.0000 7.8920 0.0000 0.0000 0.0000 2.8266" Properties=species:S:1:pos:R:3 pbc="T T T"
La 0.0000 0.0000 0.0000
La 3.9460 3.9460 0.0000
Nb 0.9793 2.9667 0.0000
Nb 2.9667 6.9127 0.0000
Nb 4.9253 0.9793 0.0000
Nb 6.9127 4.9253 0.0000
Ni 1.3422 5.2882 1.4133
Ni 2.6038 1.3422 1.4133
Ni 5.2882 6.5498 1.4133
Ni 6.5498 2.6038 1.4133
```

Energy of formation = 0.11 eV/atom
Relative energy among the computed polymorphs = 122 meV per atom

***

DFT total energy values, unit eV/atom, following the record order: -4.576; -5.508; -7.694; -9.299; -10.215; -4.769; -4.460; -3.309; -1.540; -3.970; -4.435; -7.221.
Total magnetic moment values, unit Bohr magnetons per cell, following the record order: 2.22; 0.00; 2.10; 0.00; 0.00; 0.00; 0.00; 0.77; 0.89; 3.59; 0.00; 0.00.